[1]
The following is a SCAN calculation of TaNiAu at its PBEsol-relaxed geometry, from Alexandria via LeMat-Bulk.

Cell: 3.2626 3.2626 8.3574 Å, 90.00 90.00 90.00°
Fractional coordinates of all 6 atoms:
Ta 0.0000 0.0000 0.0000
Ta 0.5000 0.5000 0.5000
Ni 0.0000 0.0000 0.3454
Ni 0.5000 0.5000 0.8454
Au 0.0000 0.0000 0.6822
Au 0.5000 0.5000 0.1822

## Properties
The energy above the lowest structure with this stoichiometry is 0 meV/atom. The density of states at the Fermi level is 2.84 states/eV/cell. As for the space-group type: No. 107. As for the formation energy: -242 meV/atom.

---

[2]
The following is a SCAN calculation of TaNiAu3 at its PBEsol-relaxed geometry, from Alexandria via LeMat-Bulk.

Cell: 4.9875 4.9875 4.9875 Å, 90.00 90.00 90.00°
Fractional coordinates of all 5 atoms:
Ta 0.0000 0.0000 0.0000
Ni 0.5000 0.5000 0.5000
Au 0.0000 0.0000 0.5000
Au 0.0000 0.5000 0.0000
Au 0.5000 0.0000 0.0000

## Properties
The density of states at the Fermi level is 8.81 states/eV/cell. As for the space-group type: No. 221. As for the formation energy: 1348 meV/atom.

---

[3]
The following is a SCAN calculation of TaNiAu2 at its PBEsol-relaxed geometry, from Alexandria via LeMat-Bulk.

Cell: 2.8118 3.1411 7.0086 Å, 90.00 90.00 90.00°
Fractional coordinates of all 4 atoms:
Ta 0.0000 0.0000 0.0000
Ni 0.5000 0.5000 0.7901
Au 0.0000 0.0000 0.5625
Au 0.5000 0.5000 0.2801

## Properties
The density of states at the Fermi level is 1.76 states/eV/cell. As for the space-group type: No. 25. As for the formation energy: -133 meV/atom.

---

[4]
The following is a SCAN calculation of TaNiAu at its PBEsol-relaxed geometry, from Alexandria via LeMat-Bulk.

Cell: 2.9347 3.6255 8.3336 Å, 90.00 90.00 90.00°
Fractional coordinates of all 6 atoms:
Ta 0.0000 0.0000 0.0000
Ta 0.5000 0.5000 0.5000
Ni 0.0000 0.0000 0.3455
Ni 0.5000 0.5000 0.8455
Au 0.0000 0.0000 0.6793
Au 0.5000 0.5000 0.1793

## Properties
The energy above the lowest structure with this stoichiometry is 4 meV/atom. The density of states at the Fermi level is 3.47 states/eV/cell. As for the space-group type: No. 44. As for the formation energy: -238 meV/atom.

---

[5]
The following is a SCAN calculation of TaNiAu at its PBEsol-relaxed geometry, from Alexandria via LeMat-Bulk.

Cell: 5.9902 5.9902 5.9902 Å, 90.00 90.00 90.00°
Fractional coordinates of all 12 atoms:
Ta 0.0000 0.0000 0.0000
Ta 0.0000 0.5000 0.5000
Ta 0.5000 0.0000 0.5000
Ta 0.5000 0.5000 0.0000
Ni 0.2500 0.2500 0.7500
Ni 0.2500 0.7500 0.2500
Ni 0.7500 0.2500 0.2500
Ni 0.7500 0.7500 0.7500
Au 0.2500 0.2500 0.2500
Au 0.2500 0.7500 0.7500
Au 0.7500 0.2500 0.7500
Au 0.7500 0.7500 0.2500

## Properties
The energy above the lowest structure with this stoichiometry is 611 meV/atom. The density of states at the Fermi level is 8.19 states/eV/cell. As for the space-group type: No. 216. As for the formation energy: 369 meV/atom.

---

[6]
The following is a SCAN calculation of TaNi2Au at its PBEsol-relaxed geometry, from Alexandria via LeMat-Bulk.

Cell: 3.1803 3.1803 5.4678 Å, 90.00 90.00 90.00°
Fractional coordinates of all 4 atoms:
Ta 0.0000 0.0000 0.0000
Ni 0.5000 0.5000 0.2334
Ni 0.5000 0.5000 0.7666
Au 0.0000 0.0000 0.5000

## Properties
The density of states at the Fermi level is 2.77 states/eV/cell. As for the space-group type: No. 123. As for the formation energy: -181 meV/atom.

---

[7]
The following is a SCAN calculation of TaNiAu2 at its PBEsol-relaxed geometry, from Alexandria via LeMat-Bulk.

Cell: 2.8492 2.8492 7.5731 Å, 90.00 90.00 90.00°
Fractional coordinates of all 4 atoms:
Ta 0.0000 0.0000 0.0000
Ni 0.5000 0.5000 0.7814
Au 0.0000 0.0000 0.5509
Au 0.5000 0.5000 0.2704

## Properties
The density of states at the Fermi level is 2.15 states/eV/cell. As for the space-group type: No. 99. As for the formation energy: -122 meV/atom.

---

[8]
The following is a SCAN calculation of TaNiTe2Au at its PBEsol-relaxed geometry, from Alexandria via LeMat-Bulk.

Cell: 4.8069 4.8069 4.6508 Å, 90.00 90.00 90.00°
Fractional coordinates of all 5 atoms:
Ta 0.0000 0.0000 0.0000
Ni 0.5000 0.5000 0.5000
Te 0.0000 0.5000 0.5000
Te 0.5000 0.0000 0.5000
Au 0.5000 0.5000 0.0000

## Properties
The density of states at the Fermi level is 3.55 states/eV/cell. As for the space-group type: No. 123. As for the electronic total energy: -44.453 eV per atom.

---

What did the seventh record say?
The following is a SCAN calculation of TaNiAu2 at its PBEsol-relaxed geometry, from Alexandria via LeMat-Bulk.

Cell: 2.8492 2.8492 7.5731 Å, 90.00 90.00 90.00°
Fractional coordinates of all 4 atoms:
Ta 0.0000 0.0000 0.0000
Ni 0.5000 0.5000 0.7814
Au 0.0000 0.0000 0.5509
Au 0.5000 0.5000 0.2704

## Properties
The density of states at the Fermi level is 2.15 states/eV/cell. As for the space-group type: No. 99. As for the formation energy: -122 meV/atom.